1.
Here is a geometry-optimized UPaAs2 structure from Alexandria. Energies are from PBE.

The structure in CIF format:
```
data_UPaAs2
_chemical_formula_sum 'U3 Pa3 As6'
_symmetry_space_group_name_H-M 'R -3 m'
_symmetry_Int_Tables_number 166
_symmetry_space_group_name_Hall '-R 3 2"'
_cell_length_a 4.0527
_cell_length_b 4.0527
_cell_length_c 20.3668
_cell_angle_alpha 90.00
_cell_angle_beta 90.00
_cell_angle_gamma 120.00
loop_
_atom_site_label
_atom_site_type_symbol
_atom_site_fract_x
_atom_site_fract_y
_atom_site_fract_z
U1 U 0.0000 0.0000 0.0000
Pa1 Pa 0.0000 0.0000 0.5000
As1 As 0.0000 0.0000 0.2503
```

Output
Offset from the most stable computed form ... 0 meV per atom
Formation energy ... -0.89 eV/atom

2.
Here is a geometry-optimized Fe2Pb structure from Alexandria. Energies are from PBE.

The structure in CIF format:
```
data_Fe2Pb
_chemical_formula_sum 'Fe2 Pb1'
_symmetry_space_group_name_H-M 'P -3 m 1'
_symmetry_Int_Tables_number 164
_symmetry_space_group_name_Hall '-P 3 2"'
_cell_length_a 3.6066
_cell_length_b 3.6066
_cell_length_c 4.4164
_cell_angle_alpha 90.00
_cell_angle_beta 90.00
_cell_angle_gamma 120.00
loop_
_atom_site_label
_atom_site_type_symbol
_atom_site_fract_x
_atom_site_fract_y
_atom_site_fract_z
Fe1 Fe 0.3333 0.6667 0.4351
Pb1 Pb 0.0000 0.0000 0.0000
```

Output
Formation energy ... 0.74 eV/atom

3.
Here is a geometry-optimized HgN3Cl12 structure from Alexandria. Energies are from PBE.

The structure in CIF format:
```
data_HgN3Cl12
_chemical_formula_sum 'Hg6 N18 Cl72'
_symmetry_space_group_name_H-M 'R 3 c'
_symmetry_Int_Tables_number 161
_symmetry_space_group_name_Hall 'R 3 -2"c'
_cell_length_a 11.2816
_cell_length_b 11.2816
_cell_length_c 38.7178
_cell_angle_alpha 90.00
_cell_angle_beta 90.00
_cell_angle_gamma 120.00
loop_
_atom_site_label
_atom_site_type_symbol
_atom_site_fract_x
_atom_site_fract_y
_atom_site_fract_z
Hg1 Hg 0.0000 0.0000 0.0000
N1 N 0.0154 0.4108 0.0766
Cl1 Cl 0.0168 0.1865 0.7437
Cl2 Cl 0.0442 0.2352 0.5007
Cl3 Cl 0.0734 0.4916 0.5671
Cl4 Cl 0.0821 0.3388 0.0457
```

Output
Uncorrected formation energy ... 308 meV per atom

4.
Here is a geometry-optimized TaAg3 structure from Alexandria. Energies are from PBE.

The structure in CIF format:
```
data_TaAg3
_chemical_formula_sum 'Ta1 Ag3'
_symmetry_space_group_name_H-M 'P 4/m m m'
_symmetry_Int_Tables_number 123
_symmetry_space_group_name_Hall '-P 4 2'
_cell_length_a 2.864
_cell_length_b 2.864
_cell_length_c 8.650
_cell_angle_alpha 90.00
_cell_angle_beta 90.00
_cell_angle_gamma 90.00
loop_
_atom_site_label
_atom_site_type_symbol
_atom_site_fract_x
_atom_site_fract_y
_atom_site_fract_z
Ta1 Ta 0.000 0.000 0.000
Ag1 Ag 0.000 0.000 0.500
Ag2 Ag 0.500 0.500 0.251
```

Output
Formation energy ... 0.22 eV/atom

5.
Here is a geometry-optimized Ti3OsF structure from Alexandria. Energies are from PBE.

The structure in CIF format:
```
data_Ti3OsF
_chemical_formula_sum 'Ti3 Os1 F1'
_symmetry_space_group_name_H-M 'P m -3 m'
_symmetry_Int_Tables_number 221
_symmetry_space_group_name_Hall '-P 4 2 3'
_cell_length_a 4.807
_cell_length_b 4.807
_cell_length_c 4.807
_cell_angle_alpha 90.00
_cell_angle_beta 90.00
_cell_angle_gamma 90.00
loop_
_atom_site_label
_atom_site_type_symbol
_atom_site_fract_x
_atom_site_fract_y
_atom_site_fract_z
Ti1 Ti 0.000 0.000 0.500
Os1 Os 0.000 0.000 0.000
F1 F 0.500 0.500 0.500
```

Output
Offset from the most stable computed form ... 875 meV per atom
Uncorrected formation energy ... 276 meV per atom

6.
Here is a geometry-optimized NaCrTe3As structure from Alexandria. Energies are from PBE.

The structure in CIF format:
```
data_NaCrTe3As
_chemical_formula_sum 'Na2 Cr2 Te6 As2'
_symmetry_space_group_name_H-M 'P 1 21/m 1'
_symmetry_Int_Tables_number 11
_cell_length_a 8.314
_cell_length_b 3.614
_cell_length_c 11.389
_cell_angle_alpha 90.00
_cell_angle_beta 110.88
_cell_angle_gamma 90.00
loop_
_symmetry_equiv_pos_as_xyz
'x,y,z'
'-x,-y,-z'
'-x,y+1/2,-z'
'x,-y+1/2,z'
loop_
_atom_site_label
_atom_site_type_symbol
_atom_site_fract_x
_atom_site_fract_y
_atom_site_fract_z
Na1 Na 0.187 0.250 0.379
Cr1 Cr 0.477 0.250 0.177
Te1 Te 0.203 0.750 0.131
Te2 Te 0.205 0.750 0.627
Te3 Te 0.345 0.250 0.907
As1 As 0.482 0.750 0.336
```

Output
Uncorrected formation energy ... -221 meV per atom

7.
Here is a geometry-optimized NaHgBiAs structure from Alexandria. Energies are from PBE.

The structure in CIF format:
```
data_NaHgBiAs
_chemical_formula_sum 'Na3 Hg3 Bi3 As3'
_symmetry_space_group_name_H-M 'R 3 m'
_symmetry_Int_Tables_number 160
_symmetry_space_group_name_Hall 'R 3 -2"'
_cell_length_a 4.0449
_cell_length_b 4.0449
_cell_length_c 27.3090
_cell_angle_alpha 90.00
_cell_angle_beta 90.00
_cell_angle_gamma 120.00
loop_
_atom_site_label
_atom_site_type_symbol
_atom_site_fract_x
_atom_site_fract_y
_atom_site_fract_z
Na1 Na 0.0000 0.0000 0.0000
Hg1 Hg 0.0000 0.0000 0.4145
Bi1 Bi 0.0000 0.0000 0.5339
As1 As 0.0000 0.0000 0.2584
```

Output
Offset from the most stable computed form ... 0 meV per atom
Formation energy ... -0.07 eV/atom

8.
Here is a geometry-optimized AcURh2 structure from Alexandria. Energies are from PBE.

The structure in CIF format:
```
data_AcURh2
_chemical_formula_sum 'Ac1 U1 Rh2'
_symmetry_space_group_name_H-M 'P 4/m m m'
_symmetry_Int_Tables_number 123
_symmetry_space_group_name_Hall '-P 4 2'
_cell_length_a 3.485
_cell_length_b 3.485
_cell_length_c 7.464
_cell_angle_alpha 90.00
_cell_angle_beta 90.00
_cell_angle_gamma 90.00
loop_
_atom_site_label
_atom_site_type_symbol
_atom_site_fract_x
_atom_site_fract_y
_atom_site_fract_z
Ac1 Ac 0.000 0.000 0.000
U1 U 0.000 0.000 0.500
Rh1 Rh 0.500 0.500 0.302
```

Output
Offset from the most stable computed form ... 87 meV per atom
Formation energy ... -0.44 eV/atom